A plane-wave DFT calculation with PBE was carried out for a relaxed ReRuBr2 crystal.

Unit cell a=3.0736 b=3.0736 c=24.6600 alpha=90.00 beta=90.00 gamma=120.00
Space group R-3m (No. 166, hexagonal axes)
Inequivalent atoms, fractional coordinates:
1 Re 0.0000 0.0000 0.0000 [3 per cell]
2 Ru 0.0000 0.0000 0.5000 [3 per cell]
3 Br 0.0000 0.0000 0.2505 [6 per cell]

Summary:
Energy relative to the lowest polymorph listed for this composition in meV/atom: 843
E_form (uncorrected) in meV per atom: 1113
V in A^3/atom: 16.8
Total magnetic moment in μB/cell: 0.7

---

A plane-wave DFT calculation with PBE was carried out for a relaxed ZnCrAg2P crystal.

Unit cell a=4.719 b=4.719 c=4.818 alpha=90.00 beta=90.00 gamma=90.00
Space group P4/mmm (No. 123)
Inequivalent atoms, fractional coordinates:
1 Zn 0.000 0.000 0.000 [1 per cell]
2 Cr 0.000 0.000 0.500 [1 per cell]
3 Ag 0.000 0.500 0.000 [2 per cell]
4 P 0.500 0.500 0.500 [1 per cell]

Summary:
Energy of formation in eV per atom: 0.969
V in A^3/atom: 21.5
Total magnetic moment in μB/cell: 4.3

---

A plane-wave DFT calculation with PBE was carried out for a relaxed Pa3Co6SiB2 crystal.

Unit cell a=5.1002 b=5.1002 c=7.9579 alpha=90.00 beta=90.00 gamma=120.00
Space group P-3m1 (No. 164)
Inequivalent atoms, fractional coordinates:
1 Pa 0.0000 0.0000 0.0000 [1 per cell]
2 Pa 0.3333 0.6667 0.6357 [2 per cell]
3 Co 0.1693 0.3386 0.2651 [6 per cell]
4 Si 0.0000 0.0000 0.5000 [1 per cell]
5 B 0.3333 0.6667 0.0997 [2 per cell]

Summary:
E_form (uncorrected) in meV per atom: -271
V in A^3/atom: 14.9
Total magnetic moment in μB/cell: 0.0

---

A plane-wave DFT calculation with PBE was carried out for a relaxed Er2Co2Ge3 crystal.

Unit cell a=4.052 b=17.512 c=6.788 alpha=90.00 beta=90.00 gamma=90.00
Space group Cmcm (No. 63)
Inequivalent atoms, fractional coordinates:
1 Er 0.000 0.054 0.250 [4 per cell]
2 Er 0.000 0.161 0.750 [4 per cell]
3 Co 0.000 0.304 0.556 [8 per cell]
4 Ge 0.000 0.222 0.250 [4 per cell]
5 Ge 0.000 0.432 0.061 [8 per cell]

Summary:
Energy of formation in eV per atom: -0.616
V in A^3/atom: 17.2
Total magnetic moment in μB/cell: 0.0

---

A plane-wave DFT calculation with PBE was carried out for a relaxed K2AgP crystal.

Unit cell a=6.122 b=6.122 c=3.000 alpha=90.00 beta=90.00 gamma=90.00
Space group P4/mmm (No. 123)
Inequivalent atoms, fractional coordinates:
1 K 0.000 0.500 0.000 [2 per cell]
2 Ag 0.000 0.000 0.500 [1 per cell]
3 P 0.500 0.500 0.500 [1 per cell]

Summary:
Energy of formation in eV per atom: 0.146
V in A^3/atom: 28.1
Total magnetic moment in μB/cell: 0.0

---

A plane-wave DFT calculation with PBE was carried out for a relaxed La8Rh3Cl4O crystal.

Unit cell a=14.017 b=8.066 c=8.947 alpha=90.00 beta=121.48 gamma=90.00
Space group C2/m (No. 12)
Inequivalent atoms, fractional coordinates:
1 La 0.009 0.232 0.296 [8 per cell]
2 La 0.226 0.000 0.705 [4 per cell]
3 La 0.237 0.500 0.709 [4 per cell]
4 Rh 0.000 0.500 0.500 [2 per cell]
5 Rh 0.250 0.250 0.500 [4 per cell]
6 Cl 0.000 0.000 0.000 [2 per cell]
7 Cl 0.000 0.500 0.000 [2 per cell]
8 Cl 0.250 0.250 0.000 [4 per cell]
9 O 0.000 0.000 0.500 [2 per cell]

Summary:
E_form (uncorrected) in meV per atom: -1447
V in A^3/atom: 27.0
Total magnetic moment in μB/cell: 2.3